1.
A relaxed Ca3Pm2ErSe6 crystal, computed with GGA-PBE.

Computed properties:
Total DFT energy (no corrections): -5.301 eV per atom
Raw formation energy: -1.89 eV/atom
Symmetry: No. 12

abc: 7.1771 7.1771 7.2949
angles: 99.48 99.48 119.93
Fractional positions:
Se 0.9170 0.5922 0.7501
Se 0.7595 0.7595 0.2509
Se 0.5922 0.9170 0.7501
Se 0.0830 0.4078 0.2499
Se 0.2405 0.2405 0.7491
Se 0.4078 0.0830 0.2499
Ca 0.8309 0.1691 0.5000
Ca 0.5000 0.5000 0.5000
Ca 0.1691 0.8309 0.5000
Er 0.0000 0.0000 0.0000
Pm 0.3342 0.6658 0.0000
Pm 0.6658 0.3342 0.0000

***

2.
A relaxed DyCu2Ni9 crystal, computed with GGA-PBE.

Computed properties:
ΔH_f (0 K): -0.135 eV/atom
Energy above the lowest structure with this stoichiometry: 0.0 kJ/mol of atoms
Total DFT energy (no corrections): -5.537 eV per atom
Symmetry: No. 127

abc: 4.7064 7.9926 7.9926
angles: 90.00 90.00 90.00
Fractional positions:
Cu 0.0000 0.1148 0.3852
Cu 0.0000 0.3852 0.8852
Cu 0.0000 0.8852 0.6148
Cu 0.0000 0.6148 0.1148
Ni 0.5000 0.2101 0.9360
Ni 0.7605 0.8210 0.3210
Ni 0.7605 0.1790 0.6790
Ni 0.2395 0.3210 0.1790
Ni 0.2395 0.8210 0.3210
Ni 0.5000 0.7899 0.0640
Ni 0.2395 0.1790 0.6790
Ni 0.7605 0.3210 0.1790
Ni 0.5000 0.0000 0.5000
Ni 0.5000 0.4360 0.7101
Ni 0.5000 0.5000 0.0000
Ni 0.5000 0.5640 0.2899
Ni 0.2395 0.6790 0.8210
Ni 0.5000 0.7101 0.5640
Ni 0.5000 0.0640 0.2101
Ni 0.7605 0.6790 0.8210
Ni 0.5000 0.2899 0.4360
Ni 0.5000 0.9360 0.7899
Dy 0.0000 0.5000 0.5000
Dy 0.0000 0.0000 0.0000

***

3.
A relaxed Li2Mn3Se6 crystal, computed with GGA-PBE.

Computed properties:
Total DFT energy (no corrections): -5.408 eV per atom
Raw formation energy: -0.66 eV/atom
Symmetry: No. 12

abc: 6.3347 6.3421 6.7586
angles: 80.93 71.60 60.04
Fractional positions:
Li 0.8335 0.3331 0.5000
Li 0.1665 0.6669 0.5000
Se 0.4106 0.6601 0.7738
Se 0.7443 0.0000 0.7799
Se 0.2557 0.0000 0.2201
Se 0.5894 0.3399 0.2262
Se 0.9293 0.6601 0.2262
Se 0.0707 0.3399 0.7738
Mn 0.6678 0.6645 0.0000
Mn 0.3322 0.3355 0.0000
Mn 0.0000 0.0000 0.0000

***

4.
A relaxed TlHgB crystal, computed with GGA-PBE.

Computed properties:
ΔH_f (0 K): 0.503 eV/atom
Total DFT energy (no corrections): -2.612 eV per atom
Symmetry: No. 2

abc: 6.8966 5.7951 5.0517
angles: 102.64 68.55 62.00
Fractional positions:
Tl 0.1611 0.6578 0.7981
Tl 0.7121 0.6508 0.3446
B 0.5045 0.4816 0.0066
B 0.3689 0.8272 0.1360
Hg 0.9367 0.1543 0.5713
Hg 0.4367 0.1544 0.0713

***

5.
A relaxed Cr2IrAu crystal, computed with GGA-PBE.

Computed properties:
ΔH_f (0 K): 0.183 eV/atom
Energy above the lowest structure with this stoichiometry: 6.8 kJ/mol of atoms
Total DFT energy (no corrections): -7.664 eV per atom
Symmetry: No. 99

abc: 2.9845 2.9845 6.5510
angles: 90.00 90.00 90.00
Fractional positions:
Ir 0.0000 0.0000 0.4576
Au 0.5000 0.5000 0.7668
Cr 0.0000 0.0000 0.0378
Cr 0.5000 0.5000 0.2378

***

6.
A relaxed LuHfCdAg crystal, computed with GGA-PBE.

Computed properties:
ΔH_f (0 K): -0.047 eV/atom
Total DFT energy (no corrections): -4.607 eV per atom
Symmetry: No. 216

abc: 4.9949 4.9949 4.9949
angles: 60.00 60.00 60.00
Fractional positions:
Cd 0.7500 0.7500 0.7500
Hf 0.0000 0.0000 0.0000
Ag 0.2500 0.2500 0.2500
Lu 0.5000 0.5000 0.5000

***

Question: Which formula does entry 4 have?
Answer: TlHgB

***

Question: Look up the total DFT energy (no corrections) of the fourth one.
Answer: -2.612 eV per atom

***

Copy entry 1 word for word.
A relaxed Ca3Pm2ErSe6 crystal, computed with GGA-PBE.

Computed properties:
Total DFT energy (no corrections): -5.301 eV per atom
Raw formation energy: -1.89 eV/atom
Symmetry: No. 12

abc: 7.1771 7.1771 7.2949
angles: 99.48 99.48 119.93
Fractional positions:
Se 0.9170 0.5922 0.7501
Se 0.7595 0.7595 0.2509
Se 0.5922 0.9170 0.7501
Se 0.0830 0.4078 0.2499
Se 0.2405 0.2405 0.7491
Se 0.4078 0.0830 0.2499
Ca 0.8309 0.1691 0.5000
Ca 0.5000 0.5000 0.5000
Ca 0.1691 0.8309 0.5000
Er 0.0000 0.0000 0.0000
Pm 0.3342 0.6658 0.0000
Pm 0.6658 0.3342 0.0000

***

Please write out number 4 again, unchanged.
A relaxed TlHgB crystal, computed with GGA-PBE.

Computed properties:
ΔH_f (0 K): 0.503 eV/atom
Total DFT energy (no corrections): -2.612 eV per atom
Symmetry: No. 2

abc: 6.8966 5.7951 5.0517
angles: 102.64 68.55 62.00
Fractional positions:
Tl 0.1611 0.6578 0.7981
Tl 0.7121 0.6508 0.3446
B 0.5045 0.4816 0.0066
B 0.3689 0.8272 0.1360
Hg 0.9367 0.1543 0.5713
Hg 0.4367 0.1544 0.0713